The following is a DFT calculation (PBE-GGA) of an optimized crystal structure of Cr3Se.

## Properties
Polymorph energy (0 for the lowest one)   155 meV/atom
Symmetry   No. 194
Final energy   -7.713 eV per atom
Formation energy without anion corrections   1.5 eV per formula unit

Geometry as POSCAR:
```
Cr3Se
1.0
5.070 0.000 0.000
-2.535 4.390 0.000
0.000 0.000 4.438
Cr Se
6 2
direct
0.164 0.328 0.250 Cr
0.164 0.836 0.250 Cr
0.328 0.164 0.750 Cr
0.672 0.836 0.250 Cr
0.836 0.164 0.750 Cr
0.836 0.672 0.750 Cr
0.333 0.667 0.750 Se
0.667 0.333 0.250 Se
```

The following is a DFT calculation (PBE-GGA) of an optimized crystal structure of Cr3Se.

## Properties
Polymorph energy (0 for the lowest one)   204 meV/atom
Symmetry   No. 221
Final energy   -7.664 eV per atom
Formation energy without anion corrections   1.7 eV per formula unit

Geometry as POSCAR:
```
Cr3Se
1.0
3.711 0.000 0.000
0.000 3.711 0.000
0.000 0.000 3.711
Cr Se
3 1
direct
0.000 0.000 0.500 Cr
0.000 0.500 0.000 Cr
0.500 0.000 0.000 Cr
0.500 0.500 0.500 Se
```

The following is a DFT calculation (PBE-GGA) of an optimized crystal structure of CrSe.

## Properties
Symmetry   No. 83
Final energy   -6.743 eV per atom
Formation energy without anion corrections   -0.4 eV per formula unit

Geometry as POSCAR:
```
CrSe
1.0
10.924 0.000 0.000
0.000 10.924 0.000
0.000 0.000 3.695
Cr Se
8 8
direct
0.059 0.385 0.000 Cr
0.089 0.709 0.500 Cr
0.291 0.089 0.500 Cr
0.385 0.941 0.000 Cr
0.615 0.059 0.000 Cr
0.709 0.911 0.500 Cr
0.911 0.291 0.500 Cr
0.941 0.615 0.000 Cr
0.134 0.261 0.500 Se
0.164 0.583 0.000 Se
0.261 0.866 0.500 Se
0.417 0.164 0.000 Se
0.583 0.836 0.000 Se
0.739 0.134 0.500 Se
0.836 0.417 0.000 Se
0.866 0.739 0.500 Se
```

The following is a DFT calculation (PBE-GGA) of an optimized crystal structure of Cr2Se3.

## Properties
Symmetry   No. 2
Final energy   -6.467 eV per atom
Formation energy without anion corrections   -2.6 eV per formula unit

Geometry as POSCAR:
```
Cr2Se3
1.0
6.965 0.000 0.000
2.059 7.029 0.000
2.086 -0.517 8.320
Cr Se
8 12
direct
0.026 0.251 0.002 Cr
0.320 0.406 0.653 Cr
0.330 0.670 0.170 Cr
0.346 0.927 0.656 Cr
0.654 0.073 0.344 Cr
0.670 0.330 0.830 Cr
0.680 0.594 0.347 Cr
0.974 0.749 0.998 Cr
0.041 0.978 0.190 Se
0.057 0.492 0.195 Se
0.279 0.179 0.468 Se
0.290 0.683 0.473 Se
0.375 0.652 0.858 Se
0.397 0.151 0.855 Se
0.603 0.849 0.145 Se
0.625 0.348 0.142 Se
0.710 0.317 0.527 Se
0.721 0.821 0.532 Se
0.943 0.508 0.805 Se
0.959 0.022 0.810 Se
```

The following is a DFT calculation (PBE-GGA) of an optimized crystal structure of Cr2Se.

## Properties
Polymorph energy (0 for the lowest one)   507 meV/atom
Symmetry   No. 194
Final energy   -7.183 eV per atom
Formation energy without anion corrections   1.2 eV per formula unit

Geometry as POSCAR:
```
Cr2Se
1.0
4.282 0.000 0.000
-2.141 3.708 0.000
0.000 0.000 5.138
Cr Se
4 2
direct
0.000 0.000 0.000 Cr
0.000 0.000 0.500 Cr
0.333 0.667 0.250 Cr
0.667 0.333 0.750 Cr
0.333 0.667 0.750 Se
0.667 0.333 0.250 Se
```

The following is a DFT calculation (PBE-GGA) of an optimized crystal structure of CrSe2.

## Properties
Symmetry   No. 12
Final energy   -5.709 eV per atom
Formation energy without anion corrections   -0.5 eV per formula unit

Geometry as POSCAR:
```
CrSe2
1.0
14.552 -1.492 0.000
14.552 1.492 0.000
-0.283 0.000 2.948
Cr Se
2 4
direct
0.126 0.126 0.320 Cr
0.874 0.874 0.680 Cr
0.322 0.322 0.043 Se
0.427 0.427 0.142 Se
0.573 0.573 0.858 Se
0.678 0.678 0.957 Se
```

The following is a DFT calculation (PBE-GGA) of an optimized crystal structure of CrSe.

## Properties
Symmetry   No. 164
Final energy   -6.610 eV per atom
Formation energy without anion corrections   -0.1 eV per formula unit

Geometry as POSCAR:
```
CrSe
1.0
3.001 0.000 0.000
-1.500 2.599 0.000
0.000 0.000 9.495
Cr Se
2 2
direct
0.333 0.667 0.104 Cr
0.667 0.333 0.896 Cr
0.333 0.667 0.723 Se
0.667 0.333 0.277 Se
```

The following is a DFT calculation (PBE-GGA) of an optimized crystal structure of Cr2Se.

## Properties
Polymorph energy (0 for the lowest one)   258 meV/atom
Symmetry   No. 8
Final energy   -7.432 eV per atom
Formation energy without anion corrections   0.4 eV per formula unit

Geometry as POSCAR:
```
Cr2Se
1.0
4.421 -1.638 0.000
4.421 1.638 0.000
-1.482 0.000 6.030
Cr Se
4 2
direct
0.000 0.000 0.000 Cr
0.086 0.086 0.609 Cr
0.384 0.384 0.699 Cr
0.755 0.755 0.362 Cr
0.464 0.464 0.313 Se
0.703 0.703 0.903 Se
```